Density functional theory data (PBE) for LaYMo2 after structural relaxation.

Cell lengths 3.578, 5.097, 9.468 Å; angles 90.00, 90.00, 90.00 degrees
Atoms (fractional coordinates):
La 0.000 0.000 0.000
La 0.500 0.500 0.000
Y 0.000 0.000 0.500
Y 0.500 0.500 0.500
Mo 0.000 0.500 0.249
Mo 0.000 0.500 0.751
Mo 0.500 0.000 0.249
Mo 0.500 0.000 0.751

For the calculated formation energy, the calculation gives 0.6766 eV/atom. The value obtained for the offset from the most stable computed form is 0.4934 eV/atom.

---

Density functional theory data (PBE) for LaAs2Rh after structural relaxation.

Cell lengths 4.065, 4.065, 18.070 Å; angles 90.00, 90.00, 120.00 degrees
Atoms (fractional coordinates):
La 0.000 0.000 0.000
La 0.333 0.667 0.667
La 0.667 0.333 0.333
As 0.000 0.000 0.567
As 0.000 0.000 0.784
As 0.333 0.667 0.233
As 0.333 0.667 0.451
As 0.667 0.333 0.118
As 0.667 0.333 0.900
Rh 0.000 0.000 0.182
Rh 0.333 0.667 0.849
Rh 0.667 0.333 0.515

For the calculated formation energy, the calculation gives -0.9079 eV/atom.

---

Density functional theory data (PBE) for BaNi2Te after structural relaxation.

Cell lengths 3.840, 4.751, 4.761 Å; angles 90.00, 90.00, 90.00 degrees
Atoms (fractional coordinates):
Ba 0.000 0.000 0.000
Ni 0.500 0.000 0.500
Ni 0.500 0.500 0.000
Te 0.000 0.500 0.500

For the total energy, the calculation gives -3.9516 eV per atom.

---

Density functional theory data (PBE) for La3AlNi3 after structural relaxation.

Cell lengths 5.728, 5.728, 13.830 Å; angles 90.00, 90.00, 138.00 degrees
Atoms (fractional coordinates):
La 0.002 0.998 0.750
La 0.281 0.719 0.605
La 0.281 0.719 0.895
La 0.719 0.281 0.105
La 0.719 0.281 0.395
La 0.998 0.002 0.250
Al 0.000 0.000 0.000
Al 0.000 0.000 0.500
Ni 0.306 0.694 0.250
Ni 0.431 0.569 0.086
Ni 0.431 0.569 0.414
Ni 0.569 0.431 0.586
Ni 0.569 0.431 0.914
Ni 0.694 0.306 0.750

For the calculated formation energy, the calculation gives -0.4105 eV/atom.

---

Density functional theory data (PBE) for MoPbCl2 after structural relaxation.

Cell lengths 4.100, 4.100, 11.560 Å; angles 90.00, 90.00, 90.00 degrees
Atoms (fractional coordinates):
Mo 0.000 0.000 0.000
Mo 0.500 0.500 0.500
Pb 0.000 0.500 0.750
Pb 0.500 0.000 0.250
Cl 0.000 0.000 0.500
Cl 0.000 0.500 0.250
Cl 0.500 0.000 0.750
Cl 0.500 0.500 0.000

The value obtained for the offset from the most stable computed form is 0.5721 eV/atom.

---

Density functional theory data (PBE) for ThSi2Ni8 after structural relaxation.

Cell lengths 4.940, 4.940, 7.130 Å; angles 90.00, 90.00, 90.00 degrees
Atoms (fractional coordinates):
Th 0.000 0.000 0.000
Si 0.000 0.500 0.500
Si 0.500 0.000 0.500
Ni 0.255 0.255 0.296
Ni 0.255 0.255 0.704
Ni 0.255 0.745 0.296
Ni 0.255 0.745 0.704
Ni 0.745 0.255 0.296
Ni 0.745 0.255 0.704
Ni 0.745 0.745 0.296
Ni 0.745 0.745 0.704

For the total energy, the calculation gives -5.8866 eV per atom.

---

Density functional theory data (PBE) for KZr2Tc after structural relaxation.

Cell lengths 6.996, 6.996, 6.996 Å; angles 90.00, 90.00, 90.00 degrees
Atoms (fractional coordinates):
K 0.000 0.000 0.000
K 0.000 0.500 0.500
K 0.500 0.000 0.500
K 0.500 0.500 0.000
Zr 0.250 0.250 0.250
Zr 0.250 0.250 0.750
Zr 0.250 0.750 0.250
Zr 0.250 0.750 0.750
Zr 0.750 0.250 0.250
Zr 0.750 0.250 0.750
Zr 0.750 0.750 0.250
Zr 0.750 0.750 0.750
Tc 0.000 0.000 0.500
Tc 0.000 0.500 0.000
Tc 0.500 0.000 0.000
Tc 0.500 0.500 0.500

For the calculated formation energy, the calculation gives 0.7738 eV/atom. The value obtained for the offset from the most stable computed form is 0.6382 eV/atom.

---

Density functional theory data (PBE) for CdCo3Se after structural relaxation.

Cell lengths 4.727, 4.727, 4.727 Å; angles 90.00, 90.00, 90.00 degrees
Atoms (fractional coordinates):
Cd 0.000 0.000 0.000
Co 0.000 0.000 0.500
Co 0.000 0.500 0.000
Co 0.500 0.000 0.000
Se 0.500 0.500 0.500

The value obtained for the offset from the most stable computed form is 1.1096 eV/atom.